BaHg2Au after structural relaxation, computed with PBE.

```
data_BaHg2Au
_space_group_name_H-M_alt 'F -4 3 m'
_space_group_IT_number 216
_space_group_name_Hall 'F -4 2 3'
_cell_length_a 7.636
_cell_length_b 7.636
_cell_length_c 7.636
_cell_angle_alpha 90.00
_cell_angle_beta 90.00
_cell_angle_gamma 90.00
loop_
_atom_site_label
_atom_site_fract_x
_atom_site_fract_y
_atom_site_fract_z
_atom_site_occupancy
Ba1 0.000 0.000 0.000 1
Hg1 0.000 0.000 0.500 1
Hg2 0.250 0.250 0.250 1
Au1 0.250 0.250 0.750 1
```


BaHg2Au3 after structural relaxation, computed with PBE.

```
data_BaHg2Au3
_space_group_name_H-M_alt 'P -3 m 1'
_space_group_IT_number 164
_space_group_name_Hall '-P 3 2"'
_cell_length_a 4.3789
_cell_length_b 4.3789
_cell_length_c 9.3044
_cell_angle_alpha 90.00
_cell_angle_beta 90.00
_cell_angle_gamma 120.00
loop_
_atom_site_label
_atom_site_fract_x
_atom_site_fract_y
_atom_site_fract_z
_atom_site_occupancy
Ba1 0.0000 0.0000 0.0000 1
Hg1 0.3333 0.6667 0.3541 1
Au1 0.0000 0.0000 0.5000 1
Au2 0.3333 0.6667 0.7784 1
```


# BaLuHgAu, relaxed, DFT PBE
data_BaLuHgAu
_space_group_name_H-M_alt 'F -4 3 m'
_space_group_IT_number 216
_space_group_name_Hall 'F -4 2 3'
_cell_length_a 7.641
_cell_length_b 7.641
_cell_length_c 7.641
_cell_angle_alpha 90.00
_cell_angle_beta 90.00
_cell_angle_gamma 90.00
loop_
_atom_site_label
_atom_site_fract_x
_atom_site_fract_y
_atom_site_fract_z
_atom_site_occupancy
Ba1 0.000 0.000 0.000 1
Lu1 0.000 0.000 0.500 1
Hg1 0.250 0.250 0.750 1
Au1 0.250 0.250 0.250 1
# size of the total moment = 0.0 μB/f.u.


# BaLuHgAu, relaxed, DFT PBE
data_BaLuHgAu
_space_group_name_H-M_alt 'F -4 3 m'
_space_group_IT_number 216
_space_group_name_Hall 'F -4 2 3'
_cell_length_a 7.441
_cell_length_b 7.441
_cell_length_c 7.441
_cell_angle_alpha 90.00
_cell_angle_beta 90.00
_cell_angle_gamma 90.00
loop_
_atom_site_label
_atom_site_fract_x
_atom_site_fract_y
_atom_site_fract_z
_atom_site_occupancy
Ba1 0.000 0.000 0.000 1
Lu1 0.250 0.250 0.250 1
Hg1 0.000 0.000 0.500 1
Au1 0.250 0.250 0.750 1
# size of the total moment = 0.0 μB/f.u.


# BaLuHgAu, relaxed, DFT PBE
data_BaLuHgAu
_space_group_name_H-M_alt 'F -4 3 m'
_space_group_IT_number 216
_space_group_name_Hall 'F -4 2 3'
_cell_length_a 7.439
_cell_length_b 7.439
_cell_length_c 7.439
_cell_angle_alpha 90.00
_cell_angle_beta 90.00
_cell_angle_gamma 90.00
loop_
_atom_site_label
_atom_site_fract_x
_atom_site_fract_y
_atom_site_fract_z
_atom_site_occupancy
Ba1 0.000 0.000 0.000 1
Lu1 0.250 0.250 0.750 1
Hg1 0.250 0.250 0.250 1
Au1 0.000 0.000 0.500 1
# size of the total moment = 0.0 μB/f.u.


BaMg2HgAu after structural relaxation, computed with PBE.

```
data_BaMg2HgAu
_space_group_name_H-M_alt 'I 4 m m'
_space_group_IT_number 107
_space_group_name_Hall 'I 4 -2'
_cell_length_a 4.592
_cell_length_b 4.592
_cell_length_c 12.964
_cell_angle_alpha 90.00
_cell_angle_beta 90.00
_cell_angle_gamma 90.00
loop_
_atom_site_label
_atom_site_fract_x
_atom_site_fract_y
_atom_site_fract_z
_atom_site_occupancy
Ba1 0.000 0.000 0.000 1
Mg1 0.000 0.500 0.240 1
Hg1 0.000 0.000 0.381 1
Au1 0.000 0.000 0.619 1
```


Ba2HgPb2Au after structural relaxation, computed with PBE.

```
data_Ba2HgPb2Au
_space_group_name_H-M_alt 'P -6 m 2'
_space_group_IT_number 187
_space_group_name_Hall 'P -6 2'
_cell_length_a 4.9910
_cell_length_b 4.9910
_cell_length_c 9.6548
_cell_angle_alpha 90.00
_cell_angle_beta 90.00
_cell_angle_gamma 120.00
loop_
_atom_site_label
_atom_site_fract_x
_atom_site_fract_y
_atom_site_fract_z
_atom_site_occupancy
Ba1 0.0000 0.0000 0.2390 1
Hg1 0.3333 0.6667 0.5000 1
Pb1 0.3333 0.6667 0.0000 1
Pb2 0.6667 0.3333 0.5000 1
Au1 0.6667 0.3333 0.0000 1
```


BaHgPb2Au after structural relaxation, computed with PBE.

```
data_BaHgPb2Au
_space_group_name_H-M_alt 'I 4 m m'
_space_group_IT_number 107
_space_group_name_Hall 'I 4 -2'
_cell_length_a 4.918
_cell_length_b 4.918
_cell_length_c 12.888
_cell_angle_alpha 90.00
_cell_angle_beta 90.00
_cell_angle_gamma 90.00
loop_
_atom_site_label
_atom_site_fract_x
_atom_site_fract_y
_atom_site_fract_z
_atom_site_occupancy
Ba1 0.000 0.000 0.000 1
Hg1 0.000 0.000 0.606 1
Pb1 0.000 0.500 0.258 1
Au1 0.000 0.000 0.391 1
```


# BaHoAuO3, relaxed, DFT PBE
data_BaHoAuO3
_space_group_name_H-M_alt 'C m c m'
_space_group_IT_number 63
_space_group_name_Hall '-C 2c 2'
_cell_length_a 3.686
_cell_length_b 13.612
_cell_length_c 8.703
_cell_angle_alpha 90.00
_cell_angle_beta 90.00
_cell_angle_gamma 90.00
loop_
_atom_site_label
_atom_site_fract_x
_atom_site_fract_y
_atom_site_fract_z
_atom_site_occupancy
Ba1 0.000 0.186 0.250 1
Ho1 0.000 0.500 0.000 1
Au1 0.000 0.112 0.750 1
O1 0.000 0.106 0.518 1
O2 0.000 0.444 0.750 1
# size of the total moment = 0.0 μB/f.u.


# BaHoAuS3, relaxed, DFT PBE
data_BaHoAuS3
_space_group_name_H-M_alt 'C 1 2/m 1'
_space_group_IT_number 12
_cell_length_a 17.734
_cell_length_b 4.038
_cell_length_c 8.463
_cell_angle_alpha 90.00
_cell_angle_beta 101.00
_cell_angle_gamma 90.00
loop_
_space_group_symop_operation_xyz
'x,y,z'
'-x,-y,-z'
'-x,y,-z'
'x,-y,z'
'x+1/2,y+1/2,z'
'-x+1/2,-y+1/2,-z'
'-x+1/2,y+1/2,-z'
'x+1/2,-y+1/2,z'
loop_
_atom_site_label
_atom_site_fract_x
_atom_site_fract_y
_atom_site_fract_z
_atom_site_occupancy
Ba1 0.133 0.000 0.078 1
Ho1 0.163 0.000 0.584 1
Au1 0.038 0.500 0.717 1
S1 0.000 0.000 0.500 1
S2 0.000 0.500 0.000 1
S3 0.177 0.500 0.373 1
S4 0.182 0.500 0.811 1
# size of the total moment = 0.0 μB/f.u.


# BaHoAuS3, relaxed, DFT PBE
data_BaHoAuS3
_space_group_name_H-M_alt 'P 1 21/m 1'
_space_group_IT_number 11
_cell_length_a 8.323
_cell_length_b 4.079
_cell_length_c 9.275
_cell_angle_alpha 90.00
_cell_angle_beta 106.24
_cell_angle_gamma 90.00
loop_
_space_group_symop_operation_xyz
'x,y,z'
'-x,-y,-z'
'-x,y+1/2,-z'
'x,-y+1/2,z'
loop_
_atom_site_label
_atom_site_fract_x
_atom_site_fract_y
_atom_site_fract_z
_atom_site_occupancy
Ba1 0.212 0.250 0.250 1
Ho1 0.321 0.750 0.841 1
Au1 0.113 0.250 0.592 1
S1 0.102 0.250 0.864 1
S2 0.268 0.750 0.533 1
S3 0.449 0.750 0.146 1
# size of the total moment = 0.0 μB/f.u.


# BaHoAuSeS2, relaxed, DFT PBE
data_BaHoAuSeS2
_space_group_name_H-M_alt 'C m c m'
_space_group_IT_number 63
_space_group_name_Hall '-C 2c 2'
_cell_length_a 4.133
_cell_length_b 14.125
_cell_length_c 10.611
_cell_angle_alpha 90.00
_cell_angle_beta 90.00
_cell_angle_gamma 90.00
loop_
_atom_site_label
_atom_site_fract_x
_atom_site_fract_y
_atom_site_fract_z
_atom_site_occupancy
Ba1 0.000 0.244 0.250 1
Ho1 0.000 0.000 0.000 1
Au1 0.000 0.457 0.750 1
Se1 0.000 0.081 0.750 1
S1 0.000 0.370 0.548 1
# size of the total moment = 0.0 μB/f.u.


no.,energy (eV per cell)
1,-29.67
2,-13.57
3,-46.82
4,-42.61
5,-43.14
6,-22.09
7,-17.93
8,-30.04
9,-153.52
10,-125.23
11,-63.08
12,-122.78